{
  "formula": "Pm2Ga6Sn",
  "functional": "PBE",
  "state": "relaxed",
  "dos_at_fermi_per_ev_cell": 3.926,
  "ef_ev_per_atom": -0.444,
  "magnetic_moment_mub_per_atom": 0.00,
  "cell": [[5.821, 0.230, -0.394], [-0.392, 5.586, -2.539], [0.441, -0.578, 6.105]],
  "species": ["Pm", "Pm", "Ga", "Ga", "Ga", "Ga", "Ga", "Ga", "Sn"],
  "fractional_positions": [[0.138, 0.667, 0.333], [0.862, 0.333, 0.667], [0.652, 0.813, 0.187], [0.652, 0.813, 0.625], [0.652, 0.375, 0.187], [0.348, 0.187, 0.813], [0.348, 0.187, 0.375], [0.348, 0.625, 0.813], [0.000, 0.000, 0.000]]
}

=====

{
  "formula": "YMn2W",
  "functional": "PBE",
  "state": "relaxed",
  "e_above_lowest_polymorph_mev_per_atom": 113,
  "dos_at_fermi_per_ev_cell": 3.833,
  "ef_ev_per_atom": 0.348,
  "magnetic_moment_mub_per_atom": 1.04,
  "cell": [[3.069, 0.000, 0.000], [0.000, 3.060, 0.235], [0.000, 2.496, 7.594]],
  "species": ["Mn", "Mn", "W", "Y"],
  "fractional_positions": [[0.000, 0.939, 0.061], [0.500, 0.237, 0.262], [0.000, 0.563, 0.437], [0.500, 0.761, 0.740]]
}

=====

{
  "formula": "Ac2Al3CdAg4",
  "functional": "PBE",
  "state": "relaxed",
  "dos_at_fermi_per_ev_cell": 7.762,
  "ef_ev_per_atom": -0.294,
  "magnetic_moment_mub_per_atom": 0.00,
  "cell": [[4.623, 0.000, 0.000], [0.000, 4.623, 0.000], [0.000, 0.000, 10.985]],
  "species": ["Ac", "Ac", "Al", "Al", "Al", "Cd", "Ag", "Ag", "Ag", "Ag"],
  "fractional_positions": [[0.500, 0.000, 0.244], [0.000, 0.500, 0.756], [0.000, 0.000, 0.500], [0.500, 0.000, 0.877], [0.000, 0.500, 0.123], [0.500, 0.500, 0.500], [0.500, 0.500, 0.000], [0.000, 0.000, 0.000], [0.500, 0.000, 0.641], [0.000, 0.500, 0.359]]
}

=====

{
  "formula": "Zn2GaGe",
  "functional": "PBE",
  "state": "relaxed",
  "e_above_lowest_polymorph_mev_per_atom": 38,
  "dos_at_fermi_per_ev_cell": 0.806,
  "ef_ev_per_atom": 0.164,
  "magnetic_moment_mub_per_atom": 0.00,
  "cell": [[3.330, 0.000, 0.000], [0.000, 3.330, 0.000], [0.000, 0.000, 6.374]],
  "species": ["Ge", "Zn", "Zn", "Ga"],
  "fractional_positions": [[0.500, 0.500, 0.000], [0.000, 0.000, 0.747], [0.000, 0.000, 0.253], [0.500, 0.500, 0.500]]
}

=====

Please write out number 1 again, unchanged.
{
  "formula": "Pm2Ga6Sn",
  "functional": "PBE",
  "state": "relaxed",
  "dos_at_fermi_per_ev_cell": 3.926,
  "ef_ev_per_atom": -0.444,
  "magnetic_moment_mub_per_atom": 0.00,
  "cell": [[5.821, 0.230, -0.394], [-0.392, 5.586, -2.539], [0.441, -0.578, 6.105]],
  "species": ["Pm", "Pm", "Ga", "Ga", "Ga", "Ga", "Ga", "Ga", "Sn"],
  "fractional_positions": [[0.138, 0.667, 0.333], [0.862, 0.333, 0.667], [0.652, 0.813, 0.187], [0.652, 0.813, 0.625], [0.652, 0.375, 0.187], [0.348, 0.187, 0.813], [0.348, 0.187, 0.375], [0.348, 0.625, 0.813], [0.000, 0.000, 0.000]]
}